Density functional theory data (SCAN) for a crystal of ZrCrIr2 relaxed with PBEsol.

Cell lengths 3.2127, 3.2127, 5.9677 Å; angles 90.00, 90.00, 90.00 degrees
Fractional positions:
1 Ir 0.0000 0.0000 0.9625
2 Ir 0.5000 0.5000 0.2492
3 Zr 0.0000 0.0000 0.4933
4 Cr 0.5000 0.5000 0.7950

Computed properties:
Energy of formation ... -0.19 eV/atom
Uncorrected energy ... -192.0 eV/cell
Space-group type ... No. 99
Energy relative to the lowest polymorph listed for this composition ... 594 meV/atom
M_tot ... 0.0 μB per formula unit